Entry 1:
Si2Sb3 | PBEsol | relaxed

The space group is Fdd2 (No. 43) and the conventional cell measures 12.021, 12.249 and 6.384 Å, with angles of 90.00, 90.00 and 90.00 degrees. The asymmetric unit holds Si at (0.107, 0.300, 0.000), Sb at (0.000, 0.000, 0.401) and Sb at (0.055, 0.343, 0.396).

As for the density of states at the Fermi level: 0.449 states/eV per atom. The raw formation energy comes out at 271 meV/atom.

---

Entry 2:
HfTc3Sn | PBEsol | relaxed

The space group is Pm-3m (No. 221) and the conventional cell measures 4.708, 4.708 and 4.708 Å, with angles of 90.00, 90.00 and 90.00 degrees. The asymmetric unit holds Hf at (0.000, 0.000, 0.000), Tc at (0.000, 0.000, 0.500) and Sn at (0.500, 0.500, 0.500).

As for the density of states at the Fermi level: 0.766 states/eV per atom. Its energy of formation from the pure elements is 167.3 kJ per mole of atoms.

---

Entry 3:
CuRuW | PBEsol | relaxed

The space group is F-43m (No. 216) and the conventional cell measures 5.659, 5.659 and 5.659 Å, with angles of 90.00, 90.00 and 90.00 degrees. The asymmetric unit holds Cu at (0.000, 0.000, 0.000), Ru at (0.250, 0.250, 0.750) and W at (0.250, 0.250, 0.250).

As for the density of states at the Fermi level: 1.364 states/eV per atom. As for the offset from the most stable computed form: 834.3 meV/atom. Its energy of formation from the pure elements is 98.5 kJ per mole of atoms.

---

Entry 4:
TeP2Ir | PBEsol | relaxed

The space group is P4/mmm (No. 123) and the conventional cell measures 4.588, 4.588 and 3.050 Å, with angles of 90.00, 90.00 and 90.00 degrees. The asymmetric unit holds Te at (0.000, 0.000, 0.000), P at (0.000, 0.500, 0.500) and Ir at (0.500, 0.500, 0.000).

As for the density of states at the Fermi level: 0.606 states/eV per atom. The raw formation energy comes out at 612 meV/atom.